Entry 1:
NaSr2HoSe4 | GGA-PBE | optimized geometry

The structure in POSCAR format:
```
NaSr2HoSe4
1.0
7.390 0.000 0.000
0.000 4.307 0.000
-2.390 0.000 7.078
Na Sr Ho Se
1 2 1 4
Cartesian
0.000 0.000 0.000 Na
2.500 0.000 3.539 Sr
3.695 2.153 0.000 Sr
-1.195 2.153 3.539 Ho
-0.071 0.000 5.201 Se
1.120 2.153 1.839 Se
3.879 2.153 5.239 Se
5.070 0.000 1.877 Se
```

Computed properties:
Formation energy (no corrections) (eV per atom): -1.834
SG: No. 10
Calculated volume (Å³ per atom): 28.16
Uncorrected energy (eV per atom): -4.73

---

Entry 2:
Na4Tb3HoSe8 | GGA-PBE | optimized geometry

The structure in POSCAR format:
```
Na4Tb3HoSe8
1.0
4.155 2.399 7.009
-4.155 2.399 7.009
0.000 -4.798 7.009
Na Tb Ho Se
4 3 1 8
Cartesian
0.000 0.000 0.000 Na
-2.077 -1.199 7.009 Na
-2.077 1.199 14.018 Na
0.000 2.399 7.009 Na
-4.155 0.000 10.513 Tb
-2.077 1.199 3.504 Tb
2.077 1.199 3.504 Tb
0.000 0.000 10.513 Ho
0.000 0.000 5.120 Se
-2.065 -1.192 12.122 Se
0.000 -2.385 8.904 Se
-2.065 1.192 8.904 Se
2.065 -1.192 12.122 Se
0.000 2.385 12.122 Se
2.065 1.192 8.904 Se
0.000 0.000 15.906 Se
```

Computed properties:
Formation energy (no corrections) (eV per atom): -1.708
SG: No. 166
Calculated volume (Å³ per atom): 26.20
Uncorrected energy (eV per atom): -4.93

---

Entry 3:
NaTb4HoSe8 | GGA-PBE | optimized geometry

The structure in POSCAR format:
```
NaTb4HoSe8
1.0
4.246 2.451 6.906
-4.246 2.451 6.906
0.000 -4.903 6.906
Na Tb Ho Se
1 4 1 8
Cartesian
0.000 0.000 0.000 Na
-2.205 -1.273 9.450 Tb
0.000 0.000 5.161 Tb
2.205 -1.273 9.450 Tb
0.000 2.546 9.450 Tb
0.000 0.000 13.039 Ho
0.000 0.000 7.924 Se
0.000 -2.281 11.167 Se
-1.975 1.141 11.167 Se
-1.948 -1.125 14.716 Se
1.975 1.141 11.167 Se
1.948 -1.125 14.716 Se
0.000 2.250 14.716 Se
0.000 0.000 17.916 Se
```

Computed properties:
Formation energy (no corrections) (eV per atom): -1.772
SG: No. 160
Calculated volume (Å³ per atom): 30.80
Uncorrected energy (eV per atom): -5.51

---

Entry 4:
Na2TbHo3Se6 | GGA-PBE | optimized geometry

The structure in POSCAR format:
```
Na2TbHo3Se6
1.0
3.546 -6.134 0.000
3.546 6.134 0.000
-2.357 0.000 6.772
Na Tb Ho Se
2 1 3 6
Cartesian
3.546 4.097 0.000 Na
3.546 -4.097 0.000 Na
3.546 0.000 0.000 Tb
-1.178 0.000 3.386 Ho
2.367 2.070 3.386 Ho
2.367 -2.070 3.386 Ho
0.016 2.025 5.043 Se
1.211 0.000 1.753 Se
0.016 -2.025 5.043 Se
4.718 2.025 1.729 Se
3.524 0.000 5.019 Se
4.718 -2.025 1.729 Se
```

Computed properties:
Formation energy (no corrections) (eV per atom): -1.714
SG: No. 12
Calculated volume (Å³ per atom): 24.55
Uncorrected energy (eV per atom): -5.21

---

Entry 5:
Na4TbHo3Se8 | GGA-PBE | optimized geometry

The structure in POSCAR format:
```
Na4TbHo3Se8
1.0
4.137 2.389 7.007
-4.137 2.389 7.007
0.000 -4.777 7.007
Na Tb Ho Se
4 1 3 8
Cartesian
0.000 0.000 0.000 Na
-2.069 -1.194 7.007 Na
-2.069 1.194 14.013 Na
0.000 2.389 7.007 Na
0.000 0.000 10.510 Tb
-4.137 0.000 10.510 Ho
-2.069 1.194 3.503 Ho
2.069 1.194 3.503 Ho
-2.080 -1.201 12.115 Se
0.000 0.000 5.102 Se
0.000 -2.402 8.905 Se
-2.080 1.201 8.905 Se
2.080 -1.201 12.115 Se
0.000 2.402 12.115 Se
0.000 0.000 15.918 Se
2.080 1.201 8.905 Se
```

Computed properties:
Formation energy (no corrections) (eV per atom): -1.707
SG: No. 166
Calculated volume (Å³ per atom): 25.96
Uncorrected energy (eV per atom): -4.93

---

Entry 6:
Na3Tb2HoSe6 | GGA-PBE | optimized geometry

The structure in POSCAR format:
```
Na3Tb2HoSe6
1.0
3.595 -6.228 0.000
3.595 6.228 0.000
-2.397 0.000 7.006
Na Tb Ho Se
3 2 1 6
Cartesian
0.000 0.000 0.000 Na
3.595 2.081 0.000 Na
3.595 -2.081 0.000 Na
2.397 4.153 3.503 Tb
2.397 -4.153 3.503 Tb
2.397 0.000 3.503 Ho
1.206 2.063 1.894 Se
0.015 0.000 5.112 Se
1.206 -2.063 1.894 Se
3.588 2.063 5.113 Se
4.779 0.000 1.894 Se
3.588 -2.063 5.113 Se
```

Computed properties:
Formation energy (no corrections) (eV per atom): -1.708
SG: No. 12
Calculated volume (Å³ per atom): 26.15
Uncorrected energy (eV per atom): -4.93

---

Entry 7:
Na3HoTe2Se6 | GGA-PBE | optimized geometry

The structure in POSCAR format:
```
Na3HoTe2Se6
1.0
3.594 -6.616 0.000
3.594 6.616 0.000
-2.414 0.000 6.821
Na Ho Te Se
3 1 2 6
Cartesian
0.000 0.000 0.000 Na
3.594 2.359 0.000 Na
3.594 -2.359 0.000 Na
2.387 0.000 3.411 Ho
2.387 4.498 3.411 Te
2.387 -4.498 3.411 Te
1.133 2.107 1.879 Se
0.031 0.000 5.021 Se
1.133 -2.107 1.879 Se
3.641 2.107 4.942 Se
4.744 0.000 1.800 Se
3.641 -2.107 4.942 Se
```

Computed properties:
Formation energy (no corrections) (eV per atom): -0.759
SG: No. 12
Calculated volume (Å³ per atom): 27.04
Uncorrected energy (eV per atom): -3.74

---

Entry 8:
Na3Ho2TeSe6 | GGA-PBE | optimized geometry

The structure in POSCAR format:
```
Na3Ho2TeSe6
1.0
3.586 -6.336 0.000
3.586 6.336 0.000
-2.347 0.000 6.996
Na Ho Te Se
3 2 1 6
Cartesian
0.000 0.000 0.000 Na
3.586 2.023 0.000 Na
3.586 -2.023 0.000 Na
2.413 4.175 3.498 Ho
2.413 -4.175 3.498 Ho
2.413 0.000 3.498 Te
1.152 2.190 1.841 Se
0.048 0.000 5.032 Se
1.152 -2.190 1.841 Se
3.673 2.190 5.154 Se
4.778 0.000 1.964 Se
3.673 -2.190 5.154 Se
```

Computed properties:
Formation energy (no corrections) (eV per atom): -1.195
SG: No. 12
Calculated volume (Å³ per atom): 26.49
Uncorrected energy (eV per atom): -4.29